No. 1
Entry from the Alexandria database: a relaxed SbAsOs crystal (PBE).

abc: 6.3538 6.3538 8.2075
angles: 125.05 125.05 28.53
Last column: nearest neighbours and their distance in Å.
Positions (direct):
Sb1 0.0000 0.0000 0.0000  3 Os 2.74-2.77
Sb2 0.0082 0.0082 0.4623  4 Os 2.76-2.79
As1 0.7185 0.7185 0.9799  3 Os 2.54-2.61
As2 0.7561 0.7561 0.4993  4 Os 2.56-2.62
Os1 0.2789 0.2789 0.2657  4 As 2.54-2.62, 3 Sb 2.76-2.77, 1 Os 2.84
Os2 0.4595 0.4595 0.6948  3 As 2.56-2.61, 4 Sb 2.74-2.79, 1 Os 2.84

Properties
- calculated volume (Å³/cell) = 127.5
- SG = Cm
- VASP energy (eV for the cell shown) = -39.6
- size of the total moment (μB/f.u.) = 0.00

***

No. 2
Entry from the Alexandria database: a relaxed SbAs2Os crystal (PBE).

abc: 3.1897 4.6777 4.9620
angles: 90.00 90.00 90.00
Last column: nearest neighbours and their distance in Å.
Positions (direct):
Sb1 0.0000 0.0000 0.0000  4 Os 2.83, 4 As 2.95
As1 0.0000 0.5000 0.5000  4 As 2.83, 4 Os 2.95
As2 0.5000 0.0000 0.5000  4 As 2.83, 4 Sb 2.95
Os1 0.5000 0.5000 0.0000  4 Sb 2.83, 4 As 2.95

Properties
- calculated volume (Å³/cell) = 74.0
- SG = Pmmm
- VASP energy (eV for the cell shown) = -21.7
- size of the total moment (μB/f.u.) = 0.00

***

No. 3
Entry from the Alexandria database: a relaxed SbAs2Os crystal (PBE).

abc: 9.0803 9.0803 9.0803
angles: 20.26 20.26 20.26
Last column: nearest neighbours and their distance in Å.
Positions (direct):
Sb1 0.0000 0.0000 0.0000  6 Sb 3.19, 6 As 3.23
As1 0.2337 0.2337 0.2337  3 Os 2.57
As2 0.7663 0.7663 0.7663  3 Os 2.57
Os1 0.5000 0.5000 0.5000  6 As 2.57

Properties
- calculated volume (Å³/cell) = 78.6
- SG = R-3m
- VASP energy (eV for the cell shown) = -23.6
- size of the total moment (μB/f.u.) = 0.00

***

No. 4
Entry from the Alexandria database: a relaxed SbAsOs crystal (PBE).

abc: 6.7618 6.7618 6.4661
angles: 115.88 115.88 27.69
Last column: nearest neighbours and their distance in Å.
Positions (direct):
Sb1 0.1295 0.1295 0.4488  3 Os 2.74-2.76
Sb2 0.8705 0.8705 0.5512  3 Os 2.74-2.76
As1 0.4050 0.4050 0.0819  3 Os 2.50
As2 0.5950 0.5950 0.9181  3 Os 2.50
Os1 0.2412 0.2412 0.1793  3 As 2.50, 3 Sb 2.74-2.76
Os2 0.7588 0.7588 0.8207  3 As 2.50, 3 Sb 2.74-2.76

Properties
- calculated volume (Å³/cell) = 122.7
- SG = C2/m
- VASP energy (eV for the cell shown) = -39.7
- size of the total moment (μB/f.u.) = 0.00

***

No. 5
Entry from the Alexandria database: a relaxed Sb2AsOs crystal (PBE).

abc: 7.4286 7.4286 7.4286
angles: 130.89 130.89 71.99
Last column: nearest neighbours and their distance in Å.
Positions (direct):
Sb1 0.0933 0.6250 0.9683  2 Os 2.54, 2 As 2.77
Sb2 0.3750 0.3433 0.4683  2 Os 2.54, 2 As 2.77
Sb3 0.6567 0.1250 0.0317  2 Os 2.54, 2 As 2.77
Sb4 0.8750 0.9067 0.5317  2 Os 2.54, 2 As 2.77
As1 0.2500 0.7500 0.5000  4 Sb 2.77
As2 0.5000 0.5000 0.0000  4 Sb 2.77
Os1 0.0000 0.0000 0.0000  4 Sb 2.54
Os2 0.7500 0.2500 0.5000  4 Sb 2.54

Properties
- calculated volume (Å³/cell) = 229.1
- SG = I-42d
- VASP energy (eV for the cell shown) = -44.2
- size of the total moment (μB/f.u.) = 0.00

***

No. 6
Entry from the Alexandria database: a relaxed SbAs2Os crystal (PBE).

abc: 3.2721 3.2721 7.4583
angles: 90.00 90.00 90.00
Last column: nearest neighbours and their distance in Å.
Positions (direct):
Sb1 0.0000 0.0000 0.0000  4 Os 2.87, 1 As 3.12
As1 0.0000 0.0000 0.5823  4 As 2.70, 4 Os 2.71
As2 0.5000 0.5000 0.3950  4 As 2.70, 1 Os 2.81
Os1 0.5000 0.5000 0.7717  5 As 2.71-2.81, 4 Sb 2.87

Properties
- calculated volume (Å³/cell) = 79.9
- SG = P4mm
- VASP energy (eV for the cell shown) = -23.2
- size of the total moment (μB/f.u.) = 0.00